Entry 1:
Material: Er5Tl6In
Method: DFT, GGA-PBE
State: relaxed

abc: 4.883 8.878 8.966
angles: 119.67 105.80 90.00
Element x y z (fractional)
1 Er 0.000 0.500 0.000
2 Er 0.676 0.676 0.353
3 Er 0.324 0.324 0.647
4 Tl 0.500 0.270 0.000
5 Er 0.642 0.142 0.283
6 Tl 0.500 0.730 0.000
7 In 0.000 0.000 0.000
8 Tl 0.829 0.571 0.658
9 Tl 0.171 0.429 0.342
10 Tl 0.829 0.087 0.658
11 Er 0.358 0.858 0.717
12 Tl 0.171 0.913 0.342

Summary:
Formation energy from the elements (eV per atom): -0.278
SG: Immm, No. 71

***

Entry 2:
Material: Er3Tl3In
Method: DFT, GGA-PBE
State: relaxed

abc: 5.386 9.016 9.016
angles: 120.00 90.00 90.00
Element x y z (fractional)
1 Tl 0.250 0.247 0.051
2 Er 0.750 0.455 0.101
3 Tl 0.750 0.753 0.949
4 In 0.750 0.333 0.667
5 Tl 0.250 0.949 0.195
6 Er 0.750 0.899 0.354
7 Er 0.250 0.101 0.646
8 Er 0.250 0.354 0.455
9 Tl 0.250 0.805 0.753
10 In 0.250 0.667 0.333
11 Tl 0.750 0.195 0.247
12 Er 0.250 0.545 0.899
13 Tl 0.750 0.051 0.805
14 Er 0.750 0.646 0.545

Summary:
Formation energy from the elements (eV per atom): -0.234
SG: P6_3/m, No. 176